No. 1
# CaMnRh2 | Alexandria via LeMat-Bulk | PBE-GGA | optimized geometry
data_CaMnRh2
_symmetry_space_group_name_H-M 'P 4/m m m'
_symmetry_Int_Tables_number 123
_symmetry_space_group_name_Hall '-P 4 2'
_cell_length_a 3.122
_cell_length_b 3.122
_cell_length_c 6.916
_cell_angle_alpha 90.00
_cell_angle_beta 90.00
_cell_angle_gamma 90.00
loop_
_atom_site_label
_atom_site_type_symbol
_atom_site_fract_x
_atom_site_fract_y
_atom_site_fract_z
_atom_site_occupancy
Ca1 Ca 0.000 0.000 0.000 1
Mn1 Mn 0.000 0.000 0.500 1
Rh1 Rh 0.500 0.500 0.295 1
# Magnetization ... 3.92 μB per formula unit
# DOS at the Fermi energy ... 1.1234 states/eV per atom


No. 2
# CaMnRh | Alexandria via LeMat-Bulk | PBE-GGA | optimized geometry
data_CaMnRh
_symmetry_space_group_name_H-M 'P 63/m m c'
_symmetry_Int_Tables_number 194
_symmetry_space_group_name_Hall '-P 6c 2c'
_cell_length_a 3.9341
_cell_length_b 3.9341
_cell_length_c 9.2535
_cell_angle_alpha 90.00
_cell_angle_beta 90.00
_cell_angle_gamma 120.00
loop_
_atom_site_label
_atom_site_type_symbol
_atom_site_fract_x
_atom_site_fract_y
_atom_site_fract_z
_atom_site_occupancy
Ca1 Ca 0.0000 0.0000 0.0000 1
Mn1 Mn 0.3333 0.6667 0.2500 1
Rh1 Rh 0.3333 0.6667 0.7500 1
# Magnetization ... 0.00 μB per formula unit
# DOS at the Fermi energy ... 0.8042 states/eV per atom


No. 3
# CaMnRh2 | Alexandria via LeMat-Bulk | PBE-GGA | optimized geometry
data_CaMnRh2
_symmetry_space_group_name_H-M 'P m m 2'
_symmetry_Int_Tables_number 25
_cell_length_a 2.955
_cell_length_b 3.924
_cell_length_c 6.052
_cell_angle_alpha 90.00
_cell_angle_beta 90.00
_cell_angle_gamma 90.00
loop_
_symmetry_equiv_pos_as_xyz
'x,y,z'
'-x,-y,z'
'-x,y,z'
'x,-y,z'
loop_
_atom_site_label
_atom_site_type_symbol
_atom_site_fract_x
_atom_site_fract_y
_atom_site_fract_z
_atom_site_occupancy
Ca1 Ca 0.000 0.000 0.000 1
Mn1 Mn 0.500 0.500 0.345 1
Rh1 Rh 0.000 0.000 0.493 1
Rh2 Rh 0.500 0.500 0.746 1
# Magnetization ... 3.86 μB per formula unit
# DOS at the Fermi energy ... 1.0734 states/eV per atom


No. 4
# CaMnRh | Alexandria via LeMat-Bulk | PBE-GGA | optimized geometry
data_CaMnRh
_symmetry_space_group_name_H-M 'P 1'
_symmetry_Int_Tables_number 1
_cell_length_a 3.171
_cell_length_b 5.713
_cell_length_c 7.222
_cell_angle_alpha 105.53
_cell_angle_beta 102.59
_cell_angle_gamma 106.09
loop_
_symmetry_equiv_pos_as_xyz
'x,y,z'
loop_
_atom_site_label
_atom_site_type_symbol
_atom_site_fract_x
_atom_site_fract_y
_atom_site_fract_z
_atom_site_occupancy
Ca1 Ca 0.000 0.000 0.000 1
Ca2 Ca 0.264 0.023 0.504 1
Mn1 Mn 0.367 0.591 0.145 1
Mn2 Mn 0.691 0.442 0.939 1
Rh1 Rh 0.127 0.538 0.713 1
Rh2 Rh 0.877 0.424 0.334 1
# Magnetization ... 0.00 μB per formula unit
# DOS at the Fermi energy ... 0.9796 states/eV per atom


How do the records compare in energy? In the order shown, they have -26.57, -35.90, -25.68, -36.30 eV per cell.
How do the records compare in calculated formation energy? In the order shown, they have -0.17, 0.19, 0.05, 0.12 eV per atom.